A plane-wave DFT calculation with PBE-GGA was carried out for a relaxed ErMg2 crystal.

Calculated values
DFT total energy = -2.644 eV per atom

abc: 6.004 6.004 6.004
angles: 60.00 60.00 60.00
Sites, in units of the cell vectors:
Er1 0.125 0.125 0.125
Er2 0.875 0.875 0.875
Mg1 0.000 0.500 0.500
Mg2 0.500 0.000 0.500
Mg3 0.500 0.500 0.000
Mg4 0.500 0.500 0.500

***

A plane-wave DFT calculation with PBE-GGA was carried out for a relaxed Er4Mg crystal.

Calculated values
DFT total energy = -3.346 eV per atom
E above lowest polymorph = 635 meV per atom

abc: 5.540 5.540 5.540
angles: 90.00 90.00 90.00
Sites, in units of the cell vectors:
Er1 0.000 0.000 0.000
Er2 0.000 0.500 0.500
Er3 0.500 0.000 0.500
Er4 0.500 0.500 0.000
Mg1 0.500 0.500 0.500

***

A plane-wave DFT calculation with PBE-GGA was carried out for a relaxed Er7Mg5 crystal.

Calculated values
DFT total energy = -3.320 eV per atom

abc: 6.404 6.404 10.733
angles: 90.08 90.08 48.90
Sites, in units of the cell vectors:
Er1 0.000 0.000 0.000
Er2 0.170 0.170 0.254
Er3 0.345 0.345 0.511
Er4 0.478 0.478 0.227
Er5 0.522 0.522 0.773
Er6 0.655 0.655 0.489
Er7 0.830 0.830 0.746
Mg1 0.000 0.000 0.500
Mg2 0.158 0.158 0.725
Mg3 0.307 0.307 0.966
Mg4 0.693 0.693 0.034
Mg5 0.842 0.842 0.275

***

A plane-wave DFT calculation with PBE-GGA was carried out for a relaxed Er3Mg crystal.

Calculated values
DFT total energy = -3.783 eV per atom

abc: 4.916 4.916 9.478
angles: 90.00 90.00 90.00
Sites, in units of the cell vectors:
Er1 0.000 0.000 0.000
Er2 0.000 0.500 0.250
Er3 0.000 0.500 0.750
Er4 0.500 0.000 0.250
Er5 0.500 0.000 0.750
Er6 0.500 0.500 0.500
Mg1 0.000 0.000 0.500
Mg2 0.500 0.500 0.000

***

A plane-wave DFT calculation with PBE-GGA was carried out for a relaxed Er4Mg3 crystal.

Calculated values
DFT total energy = -3.078 eV per atom

abc: 8.100 8.100 8.100
angles: 109.47 109.47 109.47
Sites, in units of the cell vectors:
Er1 0.000 0.156 0.500
Er2 0.000 0.656 0.500
Er3 0.156 0.500 0.000
Er4 0.344 0.344 0.344
Er5 0.500 0.000 0.156
Er6 0.500 0.000 0.656
Er7 0.656 0.500 0.000
Er8 0.844 0.844 0.844
Mg1 0.125 0.875 0.250
Mg2 0.250 0.125 0.875
Mg3 0.375 0.625 0.750
Mg4 0.625 0.750 0.375
Mg5 0.750 0.375 0.625
Mg6 0.875 0.250 0.125

***

A plane-wave DFT calculation with PBE-GGA was carried out for a relaxed Er5Mg2 crystal.

Calculated values
DFT total energy = -3.732 eV per atom

abc: 3.462 3.462 33.328
angles: 90.00 90.00 90.00
Sites, in units of the cell vectors:
Er1 0.000 0.000 0.000
Er2 0.000 0.000 0.150
Er3 0.000 0.000 0.424
Er4 0.000 0.000 0.576
Er5 0.000 0.000 0.850
Er6 0.500 0.500 0.076
Er7 0.500 0.500 0.350
Er8 0.500 0.500 0.500
Er9 0.500 0.500 0.650
Er10 0.500 0.500 0.924
Mg1 0.000 0.000 0.280
Mg2 0.000 0.000 0.720
Mg3 0.500 0.500 0.220
Mg4 0.500 0.500 0.780